[1]
Below is an optimized crystal structure of BaMg6Co, with properties calculated at the GGA-PBE level.

Summary:
Energy relative to the elements = 189 meV per atom
Relative energy among the computed polymorphs = 0 meV/atom

Cell lengths 4.5596, 6.2253, 14.7772 Å; angles 90.00, 90.00, 90.00 degrees
With the nearest neighbours (Å) after each atom.
Space group Amm2 (No. 38)
Symmetry-distinct sites (fractional):
Ba  0.0000  0.0000  0.0000 [2 per cell]  4 Mg 3.35-3.42, 2 Co 3.44
Mg  0.0000  0.0000  0.4035 [2 per cell]  6 Mg 3.02-3.32
Mg  0.0000  0.2405  0.2026 [4 per cell]  2 Co 2.76, 3 Mg 2.89-2.99
Mg  0.5000  0.0000  0.5961 [2 per cell]  4 Mg 3.21, 2 Co 3.32
Mg  0.5000  0.2457  0.8230 [4 per cell]  1 Co 2.71, 4 Mg 2.89-3.02
Co  0.5000  0.0000  0.1744 [2 per cell]  6 Mg 2.71-2.76

[2]
Below is an optimized crystal structure of BaMg2Co, with properties calculated at the GGA-PBE level.

Summary:
Energy relative to the elements = 382 meV per atom

Cell lengths 4.9871, 5.7655, 7.7786 Å; angles 90.00, 90.00, 90.00 degrees
With the nearest neighbours (Å) after each atom.
Space group Imm2 (No. 44)
Symmetry-distinct sites (fractional):
Ba  0.0000  0.0000  0.0000 [2 per cell]  2 Co 3.10, 4 Mg 3.27-3.43
Mg  0.0000  0.0000  0.5365 [2 per cell]  2 Co 2.64
Mg  0.0000  0.5000  0.8028 [2 per cell]  1 Co 2.68
Co  0.0000  0.5000  0.1476 [2 per cell]  3 Mg 2.64-2.68

[3]
Below is an optimized crystal structure of BaMg2Co, with properties calculated at the GGA-PBE level.

Summary:
Energy relative to the elements = 474 meV per atom

Cell lengths 4.6379, 4.6379, 9.3793 Å; angles 90.00, 90.00, 90.00 degrees
With the nearest neighbours (Å) after each atom.
Space group I4/mmm (No. 139)
Symmetry-distinct sites (fractional):
Ba  0.0000  0.0000  0.0000 [2 per cell]  4 Co 3.28, 8 Mg 3.30
Mg  0.0000  0.5000  0.2500 [4 per cell]  4 Mg 3.28, 4 Ba 3.30, 4 Co 3.30
Co  0.0000  0.0000  0.5000 [2 per cell]  4 Ba 3.28, 8 Mg 3.30

[4]
Below is an optimized crystal structure of Ba2MgCo, with properties calculated at the GGA-PBE level.

Summary:
Energy relative to the elements = 316 meV per atom

Cell lengths 11.3637, 11.3637, 5.0638 Å; angles 90.00, 90.00, 90.00 degrees
With the nearest neighbours (Å) after each atom.
Space group I-42d (No. 122)
Symmetry-distinct sites (fractional):
Ba  0.0728  0.2500  0.1250 [8 per cell]  2 Co 3.03
Mg  0.0000  0.0000  0.5000 [4 per cell]  2 Co 2.53
Co  0.0000  0.0000  0.0000 [4 per cell]  2 Mg 2.53

[5]
Below is an optimized crystal structure of BaMg2Co, with properties calculated at the GGA-PBE level.

Summary:
Energy relative to the elements = 578 meV per atom

Cell lengths 6.0725, 11.7385, 3.3694 Å; angles 90.00, 119.21, 90.00 degrees
With the nearest neighbours (Å) after each atom.
Space group C2/m (No. 12)
Symmetry-distinct sites (fractional):
Ba  0.0000  0.0000  0.0000 [2 per cell]  4 Co 3.04-3.25, 4 Mg 3.36, 2 Ba 3.37
Mg  0.2500  0.2500  0.5000 [4 per cell]  6 Mg 3.04-3.37, 2 Ba 3.36, 2 Co 3.36
Co  0.0000  0.5000  0.0000 [2 per cell]  4 Ba 3.04-3.25, 4 Mg 3.36, 2 Co 3.37

[6]
Below is an optimized crystal structure of BaMgCo, with properties calculated at the GGA-PBE level.

Summary:
Energy relative to the elements = 392 meV per atom

Cell lengths 3.6086, 3.6086, 11.9490 Å; angles 90.00, 90.00, 90.00 degrees
With the nearest neighbours (Å) after each atom.
Space group I4mm (No. 107)
Symmetry-distinct sites (fractional):
Ba  0.0000  0.0000  0.0000 [2 per cell]  1 Mg 3.21, 4 Co 3.41
Mg  0.0000  0.0000  0.2688 [2 per cell]  4 Co 2.72
Co  0.0000  0.0000  0.6896 [2 per cell]  4 Mg 2.72

Calculated magnetic moment, 0.092, 0.209, 0.173, 0.000, 0.309, 0.356 μB/atom (same order as the records).
Calculated volume, 419.4, 223.7, 201.7, 653.9, 209.6, 155.6 Å³/cell (same order as the records).